No. 1
Compound: Pm2NpUN4
Source: Alexandria
Functional: GGA-PBE
Structure: optimized geometry

Properties
The space group is P2/m, No. 10. The energy relative to the elements, uncorrected is -1.3633 eV/atom.

```
Pm2NpUN4
1.0
6.059 0.000 0.000
0.000 3.506 0.000
-2.036 0.000 5.791
Pm Np U N
2 1 1 4
Direct
0.000 0.000 0.000
0.500 0.500 0.000
0.000 0.500 0.500
0.500 0.000 0.500
0.246 0.000 0.718
0.268 0.500 0.283
0.732 0.500 0.717
0.754 0.000 0.282
```

***

No. 2
Compound: Tb7DyTm2
Source: Alexandria
Functional: GGA-PBE
Structure: optimized geometry

Properties
The space group is P-1, No. 2. The offset from the most stable computed form is 0 meV per atom. The formation energy is 0.018 eV per atom.

```
Tb7DyTm2
1.0
6.120 0.000 0.000
2.027 6.775 0.000
2.044 1.234 7.541
Tb Dy Tm
7 1 2
Direct
0.000 0.000 0.000
0.200 0.800 0.600
0.400 0.100 0.201
0.400 0.600 0.201
0.600 0.400 0.799
0.600 0.900 0.799
0.800 0.200 0.400
0.000 0.500 0.000
0.199 0.301 0.599
0.801 0.699 0.401
```

***

No. 3
Compound: Zr2TlC
Source: Alexandria
Functional: GGA-PBE
Structure: optimized geometry

Properties
The space group is P6_3/mmc, No. 194. The formation energy is -0.627 eV per atom.

```
Zr2TlC
1.0
3.391 0.000 0.000
-1.696 2.937 0.000
0.000 0.000 15.145
Zr Tl C
4 2 2
Direct
0.333 0.667 0.081
0.333 0.667 0.419
0.667 0.333 0.581
0.667 0.333 0.919
0.333 0.667 0.750
0.667 0.333 0.250
0.000 0.000 0.000
0.000 0.000 0.500
```

***

No. 4
Compound: La2Cu2Si3
Source: Alexandria
Functional: GGA-PBE
Structure: optimized geometry

Properties
The space group is Cmcm, No. 63. The energy relative to the elements, uncorrected is -0.6094 eV/atom.

```
La2Cu2Si3
1.0
2.221 -9.130 0.000
2.221 9.130 0.000
0.000 0.000 6.756
La Cu Si
4 4 6
Direct
0.052 0.948 0.750
0.162 0.838 0.250
0.838 0.162 0.750
0.948 0.052 0.250
0.317 0.683 0.065
0.317 0.683 0.435
0.683 0.317 0.565
0.683 0.317 0.935
0.222 0.778 0.750
0.441 0.559 0.573
0.441 0.559 0.927
0.559 0.441 0.073
0.559 0.441 0.427
0.778 0.222 0.250
```

***

No. 5
Compound: VCr2C
Source: Alexandria
Functional: GGA-PBE
Structure: optimized geometry

Properties
The space group is R-3m, No. 166. The formation energy is 0.292 eV per atom.

```
VCr2C
1.0
1.388 0.802 6.821
-1.388 0.802 6.821
0.000 -1.603 6.821
V Cr C
1 2 1
Direct
0.000 0.000 0.000
0.112 0.112 0.112
0.888 0.888 0.888
0.500 0.500 0.500
```

***

No. 6
Compound: SmNbRe4
Source: Alexandria
Functional: GGA-PBE
Structure: optimized geometry

Properties
The space group is F-43m, No. 216. The formation energy is 0.034 eV per atom.

```
SmNbRe4
1.0
0.000 3.778 3.778
3.778 0.000 3.778
3.778 3.778 0.000
Sm Nb Re
1 1 4
Direct
0.000 0.000 0.000
0.750 0.750 0.750
0.375 0.375 0.375
0.375 0.375 0.874
0.375 0.874 0.375
0.874 0.375 0.375
```